[1]
Below is a relaxed structure of ZrPPb2, with properties calculated at the PBE level.

Computed properties:
The calculation puts the density of states at the Fermi level at 2.7 states/eV/cell.

Cell lengths 6.057, 6.057, 6.057 Å; angles 138.95, 138.95, 59.46 degrees
Sites, in units of the cell vectors:
Zr 0.000 0.000 0.000
P 0.500 0.500 0.000
Pb 0.250 0.750 0.500
Pb 0.750 0.250 0.500

***

[2]
Below is a relaxed structure of ZrPPb2, with properties calculated at the PBE level.

Computed properties:
The calculation puts the density of states at the Fermi level at 2.6 states/eV/cell.

Cell lengths 5.552, 5.552, 3.210 Å; angles 90.00, 90.00, 106.47 degrees
Sites, in units of the cell vectors:
Zr 0.000 0.000 0.000
P 0.500 0.500 0.000
Pb 0.000 0.500 0.500
Pb 0.500 0.000 0.500

***

[3]
Below is a relaxed structure of Zr2PPb, with properties calculated at the PBE level.

Computed properties:
The calculation puts the density of states at the Fermi level at 4.9 states/eV/cell. The calculation puts the polymorph energy (0 for the lowest one) at 1066 meV per atom.

Cell lengths 4.973, 4.973, 4.973 Å; angles 60.00, 60.00, 60.00 degrees
Sites, in units of the cell vectors:
Zr 0.000 0.000 0.000
Zr 0.250 0.250 0.250
P 0.500 0.500 0.500
Pb 0.750 0.750 0.750

***

Here are the calculated formation energy from the elements numbers, same order: 0.07 0.17 0.23 (eV/atom).
Here are the calculated density numbers, same order: 9.39 9.39 8.03 (g cm⁻³).